VASP calculation (GGA-PBE) on a geometry-optimized Tl2Si2Cl structure.

The value obtained for the theoretical density is 6.6 g/cm3. As for the formation energy without anion corrections: -0.056 eV/atom.

The structure belongs to space group I4/mmm (No. 139); the cell edges are 3.5083, 3.5083 and 20.5820 Å and the angles 90.00°, 90.00° and 90.00°. The asymmetric unit holds Tl at (0.0000, 0.0000, 0.1022), Si at (0.0000, 0.5000, 0.2500) and Cl at (0.0000, 0.0000, 0.5000).